This record from the Alexandria database describes an optimized crystal structure of AcGaNi6Ge. The functional is GGA-PBE.

* total magnetization: 0.00 μB per formula unit
* calculated formation energy: -1.62 eV/f.u.
* volume: 275 Å³/cell
* total DFT energy (no corrections): -5.340 eV per atom

a = 8.211 Å, b = 8.211 Å, c = 5.318 Å
α = 108.68°, β = 108.68°, γ = 55.37°
Sites, in units of the cell vectors:
1 Ac 0.250 0.250 0.001
2 Ac 0.750 0.750 0.999
3 Ga 0.000 0.500 0.500
4 Ga 0.500 0.000 0.500
5 Ni 0.005 0.005 0.754
6 Ni 0.133 0.684 0.414
7 Ni 0.133 0.684 0.903
8 Ni 0.316 0.867 0.097
9 Ni 0.316 0.867 0.586
10 Ni 0.358 0.358 0.608
11 Ni 0.642 0.642 0.392
12 Ni 0.684 0.133 0.414
13 Ni 0.684 0.133 0.903
14 Ni 0.867 0.316 0.097
15 Ni 0.867 0.316 0.586
16 Ni 0.995 0.995 0.246
17 Ge 0.500 0.500 0.000
18 Ge 0.500 0.500 0.500